1.
# PuMgAl11 PBE-GGA optimized geometry
data_PuMgAl11
_chemical_formula_sum 'Pu2 Mg2 Al22'
_space_group_name_H-M_alt 'C 1 2/m 1'
_space_group_IT_number 12
_cell_length_a 5.4801
_cell_length_b 12.9322
_cell_length_c 7.1593
_cell_angle_alpha 90.00
_cell_angle_beta 112.48
_cell_angle_gamma 90.00
loop_
_space_group_symop_operation_xyz
'x,y,z'
'-x,-y,-z'
'-x,y,-z'
'x,-y,z'
'x+1/2,y+1/2,z'
'-x+1/2,-y+1/2,-z'
'-x+1/2,y+1/2,-z'
'x+1/2,-y+1/2,z'
loop_
_atom_site_label
_atom_site_fract_x
_atom_site_fract_y
_atom_site_fract_z
Pu1 0.0000 0.0000 0.0000
Mg1 0.0000 0.5000 0.5000
Al1 0.0000 0.0000 0.5000
Al2 0.1104 0.3915 0.2122
Al3 0.1683 0.1796 0.3500
Al4 0.2500 0.2500 0.0000
# **D(E_F)**: 22.952 states/eV/cell
# **Formation enthalpy at 0 K**: -0.037 eV/atom

=====

2.
# PuMgAl2 PBE-GGA optimized geometry
data_PuMgAl2
_chemical_formula_sum 'Pu1 Mg1 Al2'
_space_group_name_H-M_alt 'P 4/m m m'
_space_group_IT_number 123
_space_group_name_Hall '-P 4 2'
_cell_length_a 3.0779
_cell_length_b 3.0779
_cell_length_c 8.6828
_cell_angle_alpha 90.00
_cell_angle_beta 90.00
_cell_angle_gamma 90.00
loop_
_atom_site_label
_atom_site_fract_x
_atom_site_fract_y
_atom_site_fract_z
Pu1 0.0000 0.0000 0.0000
Mg1 0.0000 0.0000 0.5000
Al1 0.5000 0.5000 0.2622
# **D(E_F)**: 6.180 states/eV/cell
# **Formation enthalpy at 0 K**: -0.084 eV/atom